(1)
Computed, not measured: a geometry-optimized RbHf3Ni structure at the PBE-GGA level of DFT.

```
data_RbHf3Ni
_chemical_formula_sum 'Rb1 Hf3 Ni1'
_space_group_name_H-M_alt 'P 1'
_space_group_IT_number 1
_space_group_name_Hall 'P 1'
_cell_length_a 5.027
_cell_length_b 5.027
_cell_length_c 5.027
_cell_angle_alpha 90.00
_cell_angle_beta 90.00
_cell_angle_gamma 90.00
loop_
_atom_site_label
_atom_site_type_symbol
_atom_site_fract_x
_atom_site_fract_y
_atom_site_fract_z
_atom_site_occupancy
Rb1 Rb 0.000 0.000 0.000 1
Hf1 Hf 0.000 0.500 0.500 1
Hf2 Hf 0.500 0.000 0.500 1
Hf3 Hf 0.500 0.500 0.000 1
Ni1 Ni 0.500 0.500 0.500 1
```

energy of formation from the pure elements: 0.73 eV per atom
symmetry: Pm-3m (221)
energy above the lowest structure with this stoichiometry: 0.00 kcal/mol of atoms

***

(2)
Computed, not measured: a geometry-optimized RbHf3Ni structure at the PBE-GGA level of DFT.

```
data_RbHf3Ni
_chemical_formula_sum 'Rb1 Hf3 Ni1'
_space_group_name_H-M_alt 'P 1'
_space_group_IT_number 1
_space_group_name_Hall 'P 1'
_cell_length_a 4.944
_cell_length_b 4.944
_cell_length_c 4.944
_cell_angle_alpha 90.00
_cell_angle_beta 90.00
_cell_angle_gamma 90.00
loop_
_atom_site_label
_atom_site_type_symbol
_atom_site_fract_x
_atom_site_fract_y
_atom_site_fract_z
_atom_site_occupancy
Rb1 Rb 0.000 0.000 0.000 1
Hf1 Hf 0.000 0.000 0.500 1
Hf2 Hf 0.000 0.500 0.000 1
Hf3 Hf 0.500 0.000 0.000 1
Ni1 Ni 0.500 0.500 0.500 1
```

energy of formation from the pure elements: 2.58 eV per atom
symmetry: Pm-3m (221)
energy above the lowest structure with this stoichiometry: 42.60 kcal/mol of atoms

***

(3)
Computed, not measured: a geometry-optimized RbHfReNi2 structure at the PBE-GGA level of DFT.

```
data_RbHfReNi2
_chemical_formula_sum 'Rb1 Hf1 Re1 Ni2'
_space_group_name_H-M_alt 'P 1'
_space_group_IT_number 1
_space_group_name_Hall 'P 1'
_cell_length_a 4.840
_cell_length_b 4.840
_cell_length_c 4.901
_cell_angle_alpha 90.00
_cell_angle_beta 90.00
_cell_angle_gamma 90.00
loop_
_atom_site_label
_atom_site_type_symbol
_atom_site_fract_x
_atom_site_fract_y
_atom_site_fract_z
_atom_site_occupancy
Rb1 Rb 0.000 0.000 0.000 1
Hf1 Hf 0.500 0.500 0.000 1
Re1 Re 0.500 0.500 0.500 1
Ni1 Ni 0.000 0.500 0.500 1
Ni2 Ni 0.500 0.000 0.500 1
```

energy of formation from the pure elements: 1.05 eV per atom
symmetry: P4/mmm (123)

***

(4)
Computed, not measured: a geometry-optimized RbHfNiRu2 structure at the PBE-GGA level of DFT.

```
data_RbHfNiRu2
_chemical_formula_sum 'Rb1 Hf1 Ni1 Ru2'
_space_group_name_H-M_alt 'P 1'
_space_group_IT_number 1
_space_group_name_Hall 'P 1'
_cell_length_a 4.806
_cell_length_b 4.806
_cell_length_c 6.052
_cell_angle_alpha 90.00
_cell_angle_beta 90.00
_cell_angle_gamma 90.00
loop_
_atom_site_label
_atom_site_type_symbol
_atom_site_fract_x
_atom_site_fract_y
_atom_site_fract_z
_atom_site_occupancy
Rb1 Rb 0.000 0.000 0.000 1
Hf1 Hf 0.000 0.000 0.500 1
Ni1 Ni 0.500 0.500 0.000 1
Ru1 Ru 0.000 0.500 0.500 1
Ru2 Ru 0.500 0.000 0.500 1
```

energy of formation from the pure elements: 1.87 eV per atom
symmetry: P4/mmm (123)

***

(5)
Computed, not measured: a geometry-optimized RbHfNiS3 structure at the PBE-GGA level of DFT.

```
data_RbHfNiS3
_chemical_formula_sum 'Rb2 Hf2 Ni2 S6'
_space_group_name_H-M_alt 'P 1'
_space_group_IT_number 1
_space_group_name_Hall 'P 1'
_cell_length_a 8.828
_cell_length_b 3.710
_cell_length_c 9.337
_cell_angle_alpha 90.00
_cell_angle_beta 114.44
_cell_angle_gamma 90.00
loop_
_atom_site_label
_atom_site_type_symbol
_atom_site_fract_x
_atom_site_fract_y
_atom_site_fract_z
_atom_site_occupancy
Rb1 Rb 0.223 0.250 0.250 1
Rb2 Rb 0.777 0.750 0.750 1
Hf1 Hf 0.312 0.750 0.837 1
Hf2 Hf 0.688 0.250 0.163 1
Ni1 Ni 0.087 0.250 0.593 1
Ni2 Ni 0.913 0.750 0.407 1
S1 S 0.125 0.250 0.856 1
S2 S 0.200 0.750 0.541 1
S3 S 0.475 0.750 0.147 1
S4 S 0.525 0.250 0.853 1
S5 S 0.800 0.250 0.459 1
S6 S 0.875 0.750 0.144 1
```

symmetry: P2_1/m (11)
E_form (uncorrected): -1.255 eV per atom

***

(6)
Computed, not measured: a geometry-optimized RbHfNiSe3 structure at the PBE-GGA level of DFT.

```
data_RbHfNiSe3
_chemical_formula_sum 'Rb2 Hf2 Ni2 Se6'
_space_group_name_H-M_alt 'P 1'
_space_group_IT_number 1
_space_group_name_Hall 'P 1'
_cell_length_a 9.203
_cell_length_b 3.838
_cell_length_c 9.809
_cell_angle_alpha 90.00
_cell_angle_beta 115.21
_cell_angle_gamma 90.00
loop_
_atom_site_label
_atom_site_type_symbol
_atom_site_fract_x
_atom_site_fract_y
_atom_site_fract_z
_atom_site_occupancy
Rb1 Rb 0.227 0.250 0.250 1
Rb2 Rb 0.773 0.750 0.750 1
Hf1 Hf 0.308 0.750 0.834 1
Hf2 Hf 0.692 0.250 0.166 1
Ni1 Ni 0.087 0.250 0.596 1
Ni2 Ni 0.913 0.750 0.404 1
Se1 Se 0.118 0.250 0.856 1
Se2 Se 0.204 0.750 0.537 1
Se3 Se 0.473 0.750 0.147 1
Se4 Se 0.527 0.250 0.853 1
Se5 Se 0.796 0.250 0.463 1
Se6 Se 0.882 0.750 0.144 1
```

symmetry: P2_1/m (11)
E_form (uncorrected): -1.089 eV per atom

***

(7)
Computed, not measured: a geometry-optimized Rb2HfNi2Se4 structure at the PBE-GGA level of DFT.

```
data_Rb2HfNi2Se4
_chemical_formula_sum 'Rb2 Hf1 Ni2 Se4'
_space_group_name_H-M_alt 'P 1'
_space_group_IT_number 1
_space_group_name_Hall 'P 1'
_cell_length_a 7.419
_cell_length_b 7.419
_cell_length_c 8.172
_cell_angle_alpha 106.73
_cell_angle_beta 106.73
_cell_angle_gamma 30.25
loop_
_atom_site_label
_atom_site_type_symbol
_atom_site_fract_x
_atom_site_fract_y
_atom_site_fract_z
_atom_site_occupancy
Rb1 Rb 0.135 0.135 0.060 1
Rb2 Rb 0.865 0.865 0.940 1
Hf1 Hf 0.000 0.000 0.500 1
Ni1 Ni 0.317 0.317 0.508 1
Ni2 Ni 0.683 0.683 0.492 1
Se1 Se 0.196 0.196 0.665 1
Se2 Se 0.480 0.480 0.719 1
Se3 Se 0.520 0.520 0.281 1
Se4 Se 0.804 0.804 0.335 1
```

symmetry: C2/m (12)
E_form (uncorrected): -0.905 eV per atom

***

(8)
Computed, not measured: a geometry-optimized RbSrHf2Ni structure at the PBE-GGA level of DFT.

```
data_RbSrHf2Ni
_chemical_formula_sum 'Rb1 Sr1 Hf2 Ni1'
_space_group_name_H-M_alt 'P 1'
_space_group_IT_number 1
_space_group_name_Hall 'P 1'
_cell_length_a 5.336
_cell_length_b 5.336
_cell_length_c 5.760
_cell_angle_alpha 90.00
_cell_angle_beta 90.00
_cell_angle_gamma 90.00
loop_
_atom_site_label
_atom_site_type_symbol
_atom_site_fract_x
_atom_site_fract_y
_atom_site_fract_z
_atom_site_occupancy
Rb1 Rb 0.000 0.000 0.000 1
Sr1 Sr 0.000 0.000 0.500 1
Hf1 Hf 0.000 0.500 0.500 1
Hf2 Hf 0.500 0.000 0.500 1
Ni1 Ni 0.500 0.500 0.000 1
```

energy of formation from the pure elements: 2.33 eV per atom
symmetry: P4/mmm (123)

***

(9)
Computed, not measured: a geometry-optimized Rb2HfNiW structure at the PBE-GGA level of DFT.

```
data_Rb2HfNiW
_chemical_formula_sum 'Rb2 Hf1 Ni1 W1'
_space_group_name_H-M_alt 'P 1'
_space_group_IT_number 1
_space_group_name_Hall 'P 1'
_cell_length_a 6.049
_cell_length_b 6.049
_cell_length_c 4.903
_cell_angle_alpha 90.00
_cell_angle_beta 90.00
_cell_angle_gamma 90.00
loop_
_atom_site_label
_atom_site_type_symbol
_atom_site_fract_x
_atom_site_fract_y
_atom_site_fract_z
_atom_site_occupancy
Rb1 Rb 0.000 0.500 0.000 1
Rb2 Rb 0.500 0.000 0.000 1
Hf1 Hf 0.000 0.000 0.500 1
Ni1 Ni 0.000 0.000 0.000 1
W1 W 0.500 0.500 0.500 1
```

energy of formation from the pure elements: 2.02 eV per atom
symmetry: P4/mmm (123)

***

(10)
Computed, not measured: a geometry-optimized HfReNi2 structure at the PBE-GGA level of DFT.

```
data_HfReNi2
_chemical_formula_sum 'Hf4 Re4 Ni8'
_space_group_name_H-M_alt 'P 1'
_space_group_IT_number 1
_space_group_name_Hall 'P 1'
_cell_length_a 6.122
_cell_length_b 6.122
_cell_length_c 6.122
_cell_angle_alpha 90.00
_cell_angle_beta 90.00
_cell_angle_gamma 90.00
loop_
_atom_site_label
_atom_site_type_symbol
_atom_site_fract_x
_atom_site_fract_y
_atom_site_fract_z
_atom_site_occupancy
Hf1 Hf 0.000 0.000 0.000 1
Hf2 Hf 0.000 0.500 0.500 1
Hf3 Hf 0.500 0.000 0.500 1
Hf4 Hf 0.500 0.500 0.000 1
Re1 Re 0.000 0.000 0.500 1
Re2 Re 0.000 0.500 0.000 1
Re3 Re 0.500 0.000 0.000 1
Re4 Re 0.500 0.500 0.500 1
Ni1 Ni 0.250 0.250 0.250 1
Ni2 Ni 0.250 0.250 0.750 1
Ni3 Ni 0.250 0.750 0.250 1
Ni4 Ni 0.250 0.750 0.750 1
Ni5 Ni 0.750 0.250 0.250 1
Ni6 Ni 0.750 0.250 0.750 1
Ni7 Ni 0.750 0.750 0.250 1
Ni8 Ni 0.750 0.750 0.750 1
```

energy of formation from the pure elements: -0.03 eV per atom
symmetry: Fm-3m (225)
energy above the lowest structure with this stoichiometry: 0.00 kcal/mol of atoms

***

(11)
Computed, not measured: a geometry-optimized HfReNi2 structure at the PBE-GGA level of DFT.

```
data_HfReNi2
_chemical_formula_sum 'Hf4 Re4 Ni8'
_space_group_name_H-M_alt 'P 1'
_space_group_IT_number 1
_space_group_name_Hall 'P 1'
_cell_length_a 3.827
_cell_length_b 3.827
_cell_length_c 17.369
_cell_angle_alpha 90.00
_cell_angle_beta 90.00
_cell_angle_gamma 90.00
loop_
_atom_site_label
_atom_site_type_symbol
_atom_site_fract_x
_atom_site_fract_y
_atom_site_fract_z
_atom_site_occupancy
Hf1 Hf 0.000 0.000 0.000 1
Hf2 Hf 0.000 0.500 0.250 1
Hf3 Hf 0.500 0.000 0.750 1
Hf4 Hf 0.500 0.500 0.500 1
Re1 Re 0.000 0.000 0.500 1
Re2 Re 0.000 0.500 0.750 1
Re3 Re 0.500 0.000 0.250 1
Re4 Re 0.500 0.500 0.000 1
Ni1 Ni 0.222 0.250 0.625 1
Ni2 Ni 0.250 0.722 0.875 1
Ni3 Ni 0.250 0.778 0.375 1
Ni4 Ni 0.278 0.250 0.125 1
Ni5 Ni 0.722 0.750 0.125 1
Ni6 Ni 0.750 0.222 0.375 1
Ni7 Ni 0.750 0.278 0.875 1
Ni8 Ni 0.778 0.750 0.625 1
```

energy of formation from the pure elements: 0.41 eV per atom
symmetry: I-42d (122)
energy above the lowest structure with this stoichiometry: 10.21 kcal/mol of atoms

***

(12)
Computed, not measured: a geometry-optimized HfReNi4 structure at the PBE-GGA level of DFT.

```
data_HfReNi4
_chemical_formula_sum 'Hf1 Re1 Ni4'
_space_group_name_H-M_alt 'P 1'
_space_group_IT_number 1
_space_group_name_Hall 'P 1'
_cell_length_a 4.782
_cell_length_b 4.782
_cell_length_c 4.782
_cell_angle_alpha 60.00
_cell_angle_beta 60.00
_cell_angle_gamma 60.00
loop_
_atom_site_label
_atom_site_type_symbol
_atom_site_fract_x
_atom_site_fract_y
_atom_site_fract_z
_atom_site_occupancy
Hf1 Hf 0.000 0.000 0.000 1
Re1 Re 0.750 0.750 0.750 1
Ni1 Ni 0.376 0.376 0.376 1
Ni2 Ni 0.376 0.376 0.873 1
Ni3 Ni 0.376 0.873 0.376 1
Ni4 Ni 0.873 0.376 0.376 1
```

energy of formation from the pure elements: -0.20 eV per atom
symmetry: F-43m (216)